Computed, not measured: a relaxed structure of PmV2AgO8 at the PBE with a Hubbard U level of DFT.

Summary:
- Total DFT energy (no corrections): -82.61 eV per cell
- Total magnetization: 2.06 μB per formula unit
- Space-group type: P-3m1, No. 164
- D(E_F): 0.10 states/eV/atom

a = 5.911 Å, b = 5.911 Å, c = 6.279 Å
α = 90.00°, β = 90.00°, γ = 120.00°
Sites, in units of the cell vectors:
Pm 0.000 0.000 0.000
V 0.667 0.333 0.344
V 0.333 0.667 0.656
Ag 0.000 0.000 0.500
O 0.834 0.166 0.258
O 0.834 0.667 0.258
O 0.333 0.166 0.258
O 0.667 0.834 0.742
O 0.333 0.667 0.395
O 0.667 0.333 0.605
O 0.166 0.834 0.742
O 0.166 0.333 0.742